(1)
VASP calculation (PBEsol) on La2NbCrHg after structural relaxation.

symmetry	P4/mmm (123)
total energy	-0.38709	Ry/atom
magnetic moment	0.85	μB/cell

POSCAR file:
```
La2NbCrHg
1.0
4.9012 0.0000 0.0000
0.0000 5.7776 0.0000
0.0000 0.0000 5.7776
Hg La Nb Cr
1 2 1 1
Cartesian
0.0000 0.0000 0.0000
0.0000 2.8888 0.0000
0.0000 0.0000 2.8888
2.4506 2.8888 2.8888
2.4506 0.0000 0.0000
```



(2)
VASP calculation (PBEsol) on MgMo2Os after structural relaxation.

symmetry	Immm (71)
total energy	-0.67661	Ry/atom
magnetic moment	0.00	μB/cell

POSCAR file:
```
MgMo2Os
1.0
3.0845 0.0000 0.0000
0.0000 4.3316 0.0000
-1.5423 -2.1658 4.5131
Mo Mg Os
2 1 1
Cartesian
1.5423 2.1658 2.3615
0.0000 0.0000 2.1516
0.0000 2.1658 0.0000
1.5423 0.0000 0.0000
```



(3)
VASP calculation (PBEsol) on Sr2CdCu after structural relaxation.

symmetry	Amm2 (38)
total energy	-0.17894	Ry/atom
magnetic moment	0.00	μB/cell

POSCAR file:
```
Sr2CdCu
1.0
4.5158 0.0000 0.0000
0.0000 4.6032 0.0000
-2.2579 0.0000 5.8804
Sr Cd Cu
2 1 1
Cartesian
0.0000 0.0000 1.2873
0.0000 2.3016 4.6473
2.2579 0.0000 3.6817
2.2579 2.3016 2.2656
```